1.
DFT (PBE) results for a relaxed structure of RbNb3Si5.

Output
For the uncorrected energy, the calculation gives -6.55 eV per atom. The volume comes out at 181 Å³/cell. The spin magnetization comes out at 0.0 μB/f.u.

Cell: 5.688 5.688 6.465 Å, 90.00 90.00 120.00°
Sites, in units of the cell vectors:
Nb 0.500 0.000 0.500
Nb 0.000 0.500 0.500
Nb 0.500 0.500 0.500
Rb 0.000 0.000 0.000
Si 0.667 0.333 0.183
Si 0.333 0.667 0.183
Si 0.000 0.000 0.500
Si 0.667 0.333 0.817
Si 0.333 0.667 0.817


2.
DFT (PBE) results for a relaxed structure of RbSmNb.

Output
The calculation puts the offset from the most stable computed form at 0 meV per atom. The volume comes out at 126 Å³/cell. The spin magnetization comes out at 5.0 μB/f.u.

Cell: 5.628 5.628 5.628 Å, 60.00 60.00 60.00°
Sites, in units of the cell vectors:
Nb 0.000 0.000 0.000
Rb 0.250 0.250 0.250
Sm 0.750 0.750 0.750


3.
DFT (PBE) results for a relaxed structure of RbNb3Te5.

Output
For the uncorrected energy, the calculation gives -5.67 eV per atom. The volume comes out at 275 Å³/cell. The spin magnetization comes out at 0.2 μB/f.u.

Cell: 6.050 6.050 8.676 Å, 90.00 90.00 120.00°
Sites, in units of the cell vectors:
Nb 0.500 0.000 0.500
Nb 0.000 0.500 0.500
Nb 0.500 0.500 0.500
Rb 0.000 0.000 0.000
Te 0.667 0.333 0.240
Te 0.333 0.667 0.240
Te 0.000 0.000 0.500
Te 0.667 0.333 0.759
Te 0.333 0.667 0.759


4.
DFT (PBE) results for a relaxed structure of RbNb2Te.

Output
For the uncorrected energy, the calculation gives -4.94 eV per atom. The volume comes out at 105 Å³/cell. The spin magnetization comes out at 0.0 μB/f.u.

Cell: 12.256 3.134 3.134 Å, 60.35 90.00 90.00°
Sites, in units of the cell vectors:
Nb 0.221 0.000 0.000
Nb 0.779 0.000 0.000
Rb 0.500 0.666 0.666
Te 0.000 0.000 0.000


5.
DFT (PBE) results for a relaxed structure of RbUNb.

Output
The calculation puts the offset from the most stable computed form at 0 meV per atom. The volume comes out at 88 Å³/cell. The spin magnetization comes out at 1.5 μB/f.u.

Cell: 5.002 5.002 5.002 Å, 60.00 60.00 60.00°
Sites, in units of the cell vectors:
Nb 0.000 0.000 0.000
Rb 0.250 0.250 0.250
U 0.750 0.750 0.750


6.
DFT (PBE) results for a relaxed structure of RbNbZn.

Output
For the uncorrected energy, the calculation gives -2.46 eV per atom. The volume comes out at 99 Å³/cell. The spin magnetization comes out at 4.1 μB/f.u.

Cell: 5.188 5.188 5.188 Å, 60.00 60.00 60.00°
Sites, in units of the cell vectors:
Nb 0.000 0.000 0.000
Rb 0.250 0.250 0.250
Zn 0.750 0.750 0.750


> Number 4 is which compound?

RbNb2Te


> What is the spin magnetization in the fourth record?

0.0 μB/f.u.